# 1
The following is a GGA-PBE calculation of crystalline Y3Zn5O12 at its relaxed geometry, from Alexandria.

Values from the calculation:
ρ: 5.27 g cm⁻³
raw total energy: -6.09 eV per atom
SG: Ia-3d

abc: 10.8745 10.8745 10.8745
angles: 109.47 109.47 109.47
Atoms (fractional coordinates):
Y (0.1250, 0.2500, 0.3750)
Y (0.1250, 0.3750, 0.7500)
Y (0.2500, 0.3750, 0.1250)
Y (0.2500, 0.8750, 0.6250)
Y (0.3750, 0.1250, 0.2500)
Y (0.3750, 0.7500, 0.1250)
Y (0.6250, 0.2500, 0.8750)
Y (0.6250, 0.8750, 0.7500)
Y (0.7500, 0.1250, 0.3750)
Y (0.7500, 0.6250, 0.8750)
Y (0.8750, 0.6250, 0.2500)
Y (0.8750, 0.7500, 0.6250)
Zn (0.0000, 0.0000, 0.0000)
Zn (0.0000, 0.0000, 0.5000)
Zn (0.0000, 0.5000, 0.0000)
Zn (0.0000, 0.5000, 0.5000)
Zn (0.1250, 0.7500, 0.8750)
Zn (0.1250, 0.8750, 0.2500)
Zn (0.2500, 0.1250, 0.8750)
Zn (0.2500, 0.6250, 0.3750)
Zn (0.3750, 0.2500, 0.6250)
Zn (0.3750, 0.6250, 0.7500)
Zn (0.5000, 0.0000, 0.0000)
Zn (0.5000, 0.0000, 0.5000)
Zn (0.5000, 0.5000, 0.0000)
Zn (0.5000, 0.5000, 0.5000)
Zn (0.6250, 0.3750, 0.2500)
Zn (0.6250, 0.7500, 0.3750)
Zn (0.7500, 0.3750, 0.6250)
Zn (0.7500, 0.8750, 0.1250)
Zn (0.8750, 0.1250, 0.7500)
Zn (0.8750, 0.2500, 0.1250)
O (0.0366, 0.2107, 0.1285)
O (0.0366, 0.3259, 0.9081)
O (0.0823, 0.7107, 0.6741)
O (0.0823, 0.8715, 0.4081)
O (0.0919, 0.6285, 0.4177)
O (0.0919, 0.9634, 0.6741)
O (0.1285, 0.0366, 0.2107)
O (0.1285, 0.5919, 0.9177)
O (0.1741, 0.2107, 0.5823)
O (0.1741, 0.4634, 0.5919)
O (0.2107, 0.1285, 0.0366)
O (0.2107, 0.5823, 0.1741)
O (0.2893, 0.3259, 0.9177)
O (0.2893, 0.4634, 0.3715)
O (0.3259, 0.9081, 0.0366)
O (0.3259, 0.9177, 0.2893)
O (0.3715, 0.2893, 0.4634)
O (0.3715, 0.5823, 0.9081)
O (0.4081, 0.0823, 0.8715)
O (0.4081, 0.8259, 0.5366)
O (0.4177, 0.0919, 0.6285)
O (0.4177, 0.8259, 0.7893)
O (0.4634, 0.3715, 0.2893)
O (0.4634, 0.5919, 0.1741)
O (0.5366, 0.4081, 0.8259)
O (0.5366, 0.6285, 0.7107)
O (0.5823, 0.1741, 0.2107)
O (0.5823, 0.9081, 0.3715)
O (0.5919, 0.1741, 0.4634)
O (0.5919, 0.9177, 0.1285)
O (0.6285, 0.4177, 0.0919)
O (0.6285, 0.7107, 0.5366)
O (0.6741, 0.0823, 0.7107)
O (0.6741, 0.0919, 0.9634)
O (0.7107, 0.5366, 0.6285)
O (0.7107, 0.6741, 0.0823)
O (0.7893, 0.4177, 0.8259)
O (0.7893, 0.8715, 0.9634)
O (0.8259, 0.5366, 0.4081)
O (0.8259, 0.7893, 0.4177)
O (0.8715, 0.4081, 0.0823)
O (0.8715, 0.9634, 0.7893)
O (0.9081, 0.0366, 0.3259)
O (0.9081, 0.3715, 0.5823)
O (0.9177, 0.1285, 0.5919)
O (0.9177, 0.2893, 0.3259)
O (0.9634, 0.6741, 0.0919)
O (0.9634, 0.7893, 0.8715)

***

# 2
The following is a GGA-PBE calculation of crystalline KSrCu at its relaxed geometry, from Alexandria.

Values from the calculation:
ρ: 2.49 g cm⁻³
ΔE_f: -0.022 eV per atom
raw total energy: -2.31 eV per atom
SG: Cmcm

abc: 4.3212 26.7555 4.3917
angles: 90.00 90.00 90.00
Atoms (fractional coordinates):
K (0.0000, 0.1843, 0.2500)
K (0.0000, 0.8157, 0.7500)
K (0.5000, 0.3157, 0.7500)
K (0.5000, 0.6843, 0.2500)
Sr (0.0000, 0.4369, 0.2500)
Sr (0.0000, 0.5631, 0.7500)
Sr (0.5000, 0.0631, 0.7500)
Sr (0.5000, 0.9369, 0.2500)
Cu (0.0000, 0.0220, 0.2500)
Cu (0.0000, 0.9780, 0.7500)
Cu (0.5000, 0.4780, 0.7500)
Cu (0.5000, 0.5220, 0.2500)

***

# 3
The following is a GGA-PBE calculation of crystalline SmGdEr at its relaxed geometry, from Alexandria.

Values from the calculation:
ρ: 8.14 g cm⁻³
ΔE_f: 0.021 eV per atom
raw total energy: -7.77 eV per atom
SG: P3m1

abc: 3.5784 3.5784 8.7309
angles: 90.00 90.00 120.00
Atoms (fractional coordinates):
Sm (0.0000, 0.0000, 0.0000)
Gd (0.6667, 0.3333, 0.3401)
Er (0.3333, 0.6667, 0.6702)

***

# 4
The following is a GGA-PBE calculation of crystalline KZr2Fe at its relaxed geometry, from Alexandria.

Values from the calculation:
ρ: 4.98 g cm⁻³
ΔE_f: 1.102 eV per atom
raw total energy: -5.56 eV per atom
SG: P4/mmm

abc: 4.3562 4.3562 4.8753
angles: 90.00 90.00 90.00
Atoms (fractional coordinates):
K (0.0000, 0.0000, 0.0000)
Zr (0.0000, 0.5000, 0.5000)
Zr (0.5000, 0.0000, 0.5000)
Fe (0.5000, 0.5000, 0.0000)